one.
VASP calculation (GGA-PBE) on Li2Be after structural relaxation. Values from VASP.

Structure (Quantum ESPRESSO input):
```
&SYSTEM
  ibrav = 0, nat = 3, ntyp = 2
/
ATOMIC_SPECIES
Be 9.01 Be.upf
Li 6.94 Li.upf
CELL_PARAMETERS angstrom
4.587 0.002 -0.002
1.984 4.136 0.002
-2.575 -3.198 2.046
ATOMIC_POSITIONS crystal
Be 0.000 0.000 0.000
Li 0.336 0.336 0.000
Li 0.664 0.664 0.000
```

theoretical density: 0.98 g/cm³

two.
VASP calculation (GGA-PBE) on Li2Be after structural relaxation. Values from VASP.

Structure (Quantum ESPRESSO input):
```
&SYSTEM
  ibrav = 0, nat = 9, ntyp = 2
/
ATOMIC_SPECIES
Li 6.94 Li.upf
Be 9.01 Be.upf
CELL_PARAMETERS angstrom
2.848 4.126 5.768
-6.677 -3.625 0.827
1.107 -1.861 0.784
ATOMIC_POSITIONS crystal
Li 0.677 0.677 0.000
Li 0.323 0.000 0.000
Li 0.656 0.000 0.500
Li 0.344 0.344 0.500
Li 0.000 0.323 0.000
Li 0.000 0.656 0.500
Be 0.667 0.333 0.000
Be 0.333 0.667 0.000
Be 0.000 0.000 0.500
```

theoretical density: 0.98 g/cm³

Energies relative to the minimum, meV/atom: one 0; two 10

one.
VASP calculation (GGA-PBE) on Li5Be after structural relaxation. Values from VASP.

Structure (Quantum ESPRESSO input):
```
&SYSTEM
  ibrav = 0, nat = 6, ntyp = 2
/
ATOMIC_SPECIES
Li 6.94 Li.upf
Be 9.01 Be.upf
CELL_PARAMETERS angstrom
1.566 5.295 -0.021
-1.566 5.295 -0.021
0.000 1.921 5.994
ATOMIC_POSITIONS crystal
Li 0.634 0.634 0.752
Li 0.313 0.313 0.356
Li 0.972 0.972 0.559
Li 0.621 0.621 0.202
Li 0.321 0.321 0.912
Be 0.973 0.973 0.052
```

theoretical density: 0.73 g/cm³

two.
VASP calculation (GGA-PBE) on Li5Be after structural relaxation. Values from VASP.

Structure (Quantum ESPRESSO input):
```
&SYSTEM
  ibrav = 0, nat = 6, ntyp = 2
/
ATOMIC_SPECIES
Li 6.94 Li.upf
Be 9.01 Be.upf
CELL_PARAMETERS angstrom
1.950 -5.921 0.000
1.950 5.921 0.000
0.000 0.000 4.272
ATOMIC_POSITIONS crystal
Li 0.845 0.155 0.000
Li 0.346 0.654 0.500
Li 0.000 0.000 0.500
Li 0.155 0.845 0.000
Li 0.654 0.346 0.500
Be 0.500 0.500 0.000
```

theoretical density: 0.74 g/cm³

Energies relative to the minimum, meV/atom: one 0; two 17

one.
VASP calculation (GGA-PBE) on Li5Be after structural relaxation. Values from VASP.

Structure (Quantum ESPRESSO input):
```
&SYSTEM
  ibrav = 0, nat = 6, ntyp = 2
/
ATOMIC_SPECIES
Li 6.94 Li.upf
Be 9.01 Be.upf
CELL_PARAMETERS angstrom
1.301 -7.844 0.000
1.301 7.844 0.000
0.000 0.000 4.698
ATOMIC_POSITIONS crystal
Li 0.095 0.905 0.500
Li 0.664 0.336 0.000
Li 0.355 0.645 0.000
Li 0.444 0.556 0.500
Li 0.768 0.232 0.500
Be 0.008 0.992 0.000
```

theoretical density: 0.76 g/cm³

two.
VASP calculation (GGA-PBE) on Li5Be after structural relaxation. Values from VASP.

Structure (Quantum ESPRESSO input):
```
&SYSTEM
  ibrav = 0, nat = 6, ntyp = 2
/
ATOMIC_SPECIES
Li 6.94 Li.upf
Be 9.01 Be.upf
CELL_PARAMETERS angstrom
-1.946 1.740 -1.245
-0.717 -2.115 -1.838
-8.370 -3.853 7.700
ATOMIC_POSITIONS crystal
Li 0.500 0.500 0.309
Li 0.000 0.000 0.127
Li 0.000 0.000 0.873
Li 0.500 0.500 0.691
Li 0.000 0.000 0.500
Be 0.500 0.500 0.000
```

theoretical density: 0.72 g/cm³

Energies relative to the minimum, meV/atom: one 24; two 0

one.
VASP calculation (GGA-PBE) on LiBe2 after structural relaxation. Values from VASP.

Structure (Quantum ESPRESSO input):
```
&SYSTEM
  ibrav = 0, nat = 3, ntyp = 2
/
ATOMIC_SPECIES
Li 6.94 Li.upf
Be 9.01 Be.upf
CELL_PARAMETERS angstrom
-2.648 1.985 1.965
2.674 -2.029 1.883
1.325 1.756 0.011
ATOMIC_POSITIONS crystal
Li 0.000 0.000 0.000
Be 0.333 0.667 0.709
Be 0.667 0.333 0.291
```

theoretical density: 1.47 g/cm³

two.
VASP calculation (GGA-PBE) on LiBe2 after structural relaxation. Values from VASP.

Structure (Quantum ESPRESSO input):
```
&SYSTEM
  ibrav = 0, nat = 9, ntyp = 2
/
ATOMIC_SPECIES
Li 6.94 Li.upf
Be 9.01 Be.upf
CELL_PARAMETERS angstrom
1.651 2.684 4.299
-5.213 -0.700 -0.865
0.105 -3.224 1.973
ATOMIC_POSITIONS crystal
Li 0.333 0.667 0.000
Li 0.667 0.333 0.000
Li 0.000 0.000 0.500
Be 0.225 0.000 0.000
Be 0.000 0.514 0.500
Be 0.486 0.486 0.500
Be 0.775 0.775 0.000
Be 0.000 0.225 0.000
Be 0.514 0.000 0.500
```

theoretical density: 1.34 g/cm³

Energies relative to the minimum, meV/atom: one 0; two 347

one.
VASP calculation (GGA-PBE) on LiBe2 after structural relaxation. Values from VASP.

Structure (Quantum ESPRESSO input):
```
&SYSTEM
  ibrav = 0, nat = 3, ntyp = 2
/
ATOMIC_SPECIES
Be 9.01 Be.upf
Li 6.94 Li.upf
CELL_PARAMETERS angstrom
3.449 -0.785 1.213
-0.783 3.644 0.301
-2.444 -1.904 2.094
ATOMIC_POSITIONS crystal
Be 0.250 0.750 0.500
Be 0.750 0.250 0.500
Li 0.000 0.000 0.000
```

theoretical density: 1.03 g/cm³

two.
VASP calculation (GGA-PBE) on LiBe2 after structural relaxation. Values from VASP.

Structure (Quantum ESPRESSO input):
```
&SYSTEM
  ibrav = 0, nat = 6, ntyp = 2
/
ATOMIC_SPECIES
Li 6.94 Li.upf
Be 9.01 Be.upf
CELL_PARAMETERS angstrom
4.414 0.000 0.000
2.207 3.823 0.000
2.207 1.274 3.604
ATOMIC_POSITIONS crystal
Li 0.000 0.000 0.000
Li 0.250 0.250 0.250
Be 0.125 0.625 0.625
Be 0.625 0.625 0.625
Be 0.625 0.125 0.625
Be 0.625 0.625 0.125
```

theoretical density: 1.36 g/cm³

Energies relative to the minimum, meV/atom: one 717; two 0

one.
VASP calculation (GGA-PBE) on Li4Be5 after structural relaxation. Values from VASP.

Structure (Quantum ESPRESSO input):
```
&SYSTEM
  ibrav = 0, nat = 18, ntyp = 2
/
ATOMIC_SPECIES
Li 6.94 Li.upf
Be 9.01 Be.upf
CELL_PARAMETERS angstrom
-5.969 3.478 0.486
-0.004 -6.614 -2.054
-0.429 -1.339 4.312
ATOMIC_POSITIONS crystal
Li 0.000 0.300 0.250
Li 0.700 0.700 0.250
Li 0.300 0.300 0.750
Li 0.000 0.700 0.750
Li 0.000 0.000 0.000
Li 0.300 0.000 0.250
Li 0.700 0.000 0.750
Li 0.000 0.000 0.500
Be 0.333 0.667 0.000
Be 0.667 0.333 0.000
Be 0.392 0.000 0.750
Be 0.667 0.333 0.500
Be 0.000 0.608 0.250
Be 0.392 0.392 0.250
Be 0.000 0.392 0.750
Be 0.333 0.667 0.500
Be 0.608 0.608 0.750
Be 0.608 0.000 0.250
```

theoretical density: 1.28 g/cm³

two.
VASP calculation (GGA-PBE) on Li4Be5 after structural relaxation. Values from VASP.

Structure (Quantum ESPRESSO input):
```
&SYSTEM
  ibrav = 0, nat = 9, ntyp = 2
/
ATOMIC_SPECIES
Li 6.94 Li.upf
Be 9.01 Be.upf
CELL_PARAMETERS angstrom
-3.991 3.991 1.500
3.991 -3.991 1.500
3.991 3.991 -1.500
ATOMIC_POSITIONS crystal
Li 0.000 0.680 0.680
Li 0.000 0.320 0.320
Li 0.680 0.000 0.680
Li 0.320 0.000 0.320
Be 0.660 0.340 0.000
Be 0.340 0.660 0.000
Be 0.000 0.000 0.000
Be 0.660 0.660 0.320
Be 0.340 0.340 0.680
```

theoretical density: 1.26 g/cm³

Energies relative to the minimum, meV/atom: one 20; two 0

one.
VASP calculation (GGA-PBE) on LiBe5 after structural relaxation. Values from VASP.

Structure (Quantum ESPRESSO input):
```
&SYSTEM
  ibrav = 0, nat = 6, ntyp = 2
/
ATOMIC_SPECIES
Be 9.01 Be.upf
Li 6.94 Li.upf
CELL_PARAMETERS angstrom
-0.125 3.288 1.580
-2.053 -1.378 2.712
4.181 -0.137 0.612
ATOMIC_POSITIONS crystal
Be 0.000 0.333 0.666
Be 0.500 0.500 0.000
Be 0.500 0.822 0.643
Be 0.500 0.178 0.357
Be 0.000 0.667 0.334
Li 0.000 0.000 0.000
```

theoretical density: 1.69 g/cm³

two.
VASP calculation (GGA-PBE) on LiBe5 after structural relaxation. Values from VASP.

Structure (Quantum ESPRESSO input):
```
&SYSTEM
  ibrav = 0, nat = 6, ntyp = 2
/
ATOMIC_SPECIES
Be 9.01 Be.upf
Li 6.94 Li.upf
CELL_PARAMETERS angstrom
2.605 0.000 0.000
0.000 3.608 0.000
0.000 -1.804 5.435
ATOMIC_POSITIONS crystal
Be 0.500 0.826 0.653
Be 0.000 0.335 0.670
Be 0.500 0.500 0.000
Be 0.000 0.665 0.330
Be 0.500 0.174 0.347
Li 0.000 0.000 0.000
```

theoretical density: 1.69 g/cm³

Energies relative to the minimum, meV/atom: one 0; two 54

one.
VASP calculation (GGA-PBE) on LiBe5 after structural relaxation. Values from VASP.

Structure (Quantum ESPRESSO input):
```
&SYSTEM
  ibrav = 0, nat = 6, ntyp = 2
/
ATOMIC_SPECIES
Be 9.01 Be.upf
Li 6.94 Li.upf
CELL_PARAMETERS angstrom
-0.901 1.349 1.733
-2.122 -0.053 -1.062
-2.259 -7.810 4.903
ATOMIC_POSITIONS crystal
Be 0.000 0.000 0.797
Be 0.500 0.500 0.352
Be 0.500 0.500 0.648
Be 0.000 0.000 0.500
Be 0.000 0.000 0.203
Li 0.500 0.500 0.000
```

theoretical density: 1.61 g/cm³

two.
VASP calculation (GGA-PBE) on LiBe5 after structural relaxation. Values from VASP.

Structure (Quantum ESPRESSO input):
```
&SYSTEM
  ibrav = 0, nat = 6, ntyp = 2
/
ATOMIC_SPECIES
Be 9.01 Be.upf
Li 6.94 Li.upf
CELL_PARAMETERS angstrom
-1.756 3.754 -1.094
-0.819 -3.508 -2.324
-2.822 -0.715 2.075
ATOMIC_POSITIONS crystal
Be 0.000 0.333 0.500
Be 0.834 0.000 0.000
Be 0.667 0.667 0.500
Be 0.832 0.499 0.000
Be 0.333 0.501 0.000
Li 0.333 0.000 0.500
```

theoretical density: 1.52 g/cm³

Energies relative to the minimum, meV/atom: one 63; two 0